La2Sc | GGA-PBEsol | relaxed

Cell: 10.937 5.967 5.619 Å, 90.00 90.00 90.00°
Fractional coordinates of all 12 atoms:
La1 0.158 0.191 0.250
La2 0.158 0.809 0.750
La3 0.342 0.309 0.750
La4 0.342 0.691 0.250
La5 0.658 0.309 0.750
La6 0.658 0.691 0.250
La7 0.842 0.191 0.250
La8 0.842 0.809 0.750
Sc1 0.000 0.328 0.750
Sc2 0.000 0.672 0.250
Sc3 0.500 0.172 0.250
Sc4 0.500 0.828 0.750

Properties
* ΔH_f (0 K): 0.0655 eV per atom
* V: 30.558 Å³/atom
* SG: Cmcm, No. 63
* VASP energy: -5.700 eV per atom
* E above lowest polymorph: 24 meV/atom

Zr3Ag | GGA-PBEsol | relaxed

Cell: 3.159 3.159 8.308 Å, 90.00 90.00 90.00°
Fractional coordinates of all 4 atoms:
Zr1 0.000 0.000 0.000
Zr2 0.500 0.500 0.261
Zr3 0.500 0.500 0.739
Ag1 0.000 0.000 0.500

Properties
* ΔH_f (0 K): -0.0807 eV per atom
* V: 20.730 Å³/atom
* SG: P4/mmm, No. 123
* VASP energy: -7.726 eV per atom

Nb3GaFe | GGA-PBEsol | relaxed

Cell: 4.529 4.529 4.529 Å, 90.00 90.00 90.00°
Fractional coordinates of all 5 atoms:
Nb1 0.000 0.000 0.500
Nb2 0.000 0.500 0.000
Nb3 0.500 0.000 0.000
Ga1 0.500 0.500 0.500
Fe1 0.000 0.000 0.000

Properties
* ΔH_f (0 K): 0.5806 eV per atom
* V: 18.583 Å³/atom
* SG: Pm-3m, No. 221
* VASP energy: -8.373 eV per atom

Among the records above, which one has the lowest V?
Nb3GaFe